PrDy2YEr: relaxed, PBE.

Cell: 8.416 11.516 7.228 Å, 90.00 90.00 90.00°
Space group Cmcm (No. 63)
Inequivalent atoms, fractional coordinates:
Pr 0.000 0.227 0.250 (multiplicity 4)
Dy 0.189 0.000 0.000 (multiplicity 8)
Y 0.000 0.499 0.250 (multiplicity 4)
Er 0.000 0.222 0.750 (multiplicity 4)

Results
Magnetic moment ... 0.0 μB/f.u.
ΔE_f ... 0.391 eV per atom
Energy ... -92.23 eV for the cell shown